No. 1
La4TbHo5, optimized geometry, DFT PBE-GGA; DOS at the Fermi energy = 14.859 states/eV/f.u.; SG = C2/m; relative energy among the computed polymorphs = 0.0000 eV/atom
1.0
-0.8872 -2.9688 1.7136
-2.2786 -5.1050 -10.0243
8.5833 -1.2146 -1.3184
La Tb Ho
4 1 5
direct
0.6628 0.2498 0.3256 La
0.0336 0.7495 0.0673 La
0.3372 0.7502 0.6744 La
0.9664 0.2505 0.9327 La
0.5000 0.0000 0.0000 Tb
0.1730 0.9517 0.3460 Ho
0.1725 0.5471 0.3450 Ho
0.8275 0.4529 0.6550 Ho
0.5000 0.5000 0.0000 Ho
0.8270 0.0483 0.6540 Ho


No. 2
La4TbHo, optimized geometry, DFT PBE-GGA; DOS at the Fermi energy = 11.822 states/eV/f.u.; SG = C2/m; relative energy among the computed polymorphs = 0.0379 eV/atom
1.0
6.3899 0.4569 0.9422
3.1084 5.6014 0.9422
-0.8423 -0.5373 5.9986
La Tb Ho
4 1 1
direct
0.3433 0.3433 0.9994 La
0.6567 0.6567 0.0006 La
0.8435 0.8435 0.5009 La
0.1565 0.1565 0.4991 La
0.5000 0.5000 0.5000 Tb
0.0000 0.0000 0.0000 Ho


No. 3
La6TbHo4, optimized geometry, DFT PBE-GGA; DOS at the Fermi energy = 17.433 states/eV/f.u.; SG = I-42m; relative energy among the computed polymorphs = 0.1780 eV/atom
1.0
-0.3364 6.9070 -1.1603
-2.6435 -1.2010 -6.3825
-5.8631 -2.7043 6.7889
La Tb Ho
6 1 4
direct
0.8755 0.4876 0.3630 La
0.4876 0.8755 0.3630 La
0.5124 0.5124 0.6370 La
0.0000 0.5000 0.0000 La
0.1245 0.1245 0.6370 La
0.5000 0.0000 0.0000 La
0.5000 0.5000 0.0000 Tb
0.0656 0.7298 0.7954 Ho
0.9344 0.9344 0.2046 Ho
0.7298 0.0656 0.7954 Ho
0.2702 0.2702 0.2046 Ho


No. 4
La4Tb3Ho8, optimized geometry, DFT PBE-GGA; DOS at the Fermi energy = 23.473 states/eV/f.u.; SG = R-3m; relative energy among the computed polymorphs = 0.0000 eV/atom
1.0
6.1524 0.0000 3.3181
2.1814 5.7527 3.3181
-2.6013 -1.7956 12.1862
La Tb Ho
4 3 8
direct
0.0000 0.0000 0.0000 La
0.3365 0.3365 0.9905 La
0.5000 0.5000 0.5000 La
0.6635 0.6635 0.0095 La
0.5000 0.0000 0.5000 Tb
0.0000 0.0000 0.5000 Tb
0.0000 0.5000 0.5000 Tb
0.2444 0.2444 0.2667 Ho
0.2465 0.7494 0.2548 Ho
0.7494 0.7494 0.2548 Ho
0.7494 0.2465 0.2548 Ho
0.7556 0.7556 0.7333 Ho
0.7535 0.2506 0.7452 Ho
0.2506 0.2506 0.7452 Ho
0.2506 0.7535 0.7452 Ho


No. 5
La3Tb5Ho, optimized geometry, DFT PBE-GGA; DOS at the Fermi energy = 15.278 states/eV/f.u.; SG = C2/m; raw total energy = -4.299 eV/atom
1.0
7.4257 0.4305 -0.6027
2.4468 7.0242 -0.6027
2.7258 2.0582 12.2991
La Tb Ho
6 10 2
direct
0.6202 0.6202 0.7838 La
0.7323 0.7323 0.5329 La
0.0000 0.0000 0.0000 La
0.0000 0.0000 0.5000 La
0.3798 0.3798 0.2162 La
0.2677 0.2677 0.4671 La
0.9343 0.3287 0.2203 Tb
0.3202 0.6798 0.0000 Tb
0.7415 0.7415 0.0237 Tb
0.5552 0.5552 0.3761 Tb
0.4448 0.4448 0.6239 Tb
0.2585 0.2585 0.9763 Tb
0.3287 0.9343 0.2203 Tb
0.6798 0.3202 0.0000 Tb
0.0657 0.6713 0.7797 Tb
0.6713 0.0657 0.7797 Tb
0.1413 0.1413 0.7385 Ho
0.8587 0.8587 0.2615 Ho


No. 6
La4Tb7Ho, optimized geometry, DFT PBE-GGA; DOS at the Fermi energy = 19.513 states/eV/f.u.; SG = C2/m; relative energy among the computed polymorphs = 0.2458 eV/atom
1.0
5.9750 0.0000 0.0000
2.9875 11.5617 -0.4937
2.9875 0.1017 6.0589
La Tb Ho
4 7 1
direct
0.6395 0.2244 0.4966 La
0.3605 0.7756 0.5034 La
0.7039 0.7081 0.8842 La
0.2961 0.2919 0.1158 La
0.7925 0.9183 0.4967 Tb
0.2075 0.0817 0.5033 Tb
0.0372 0.6356 0.2900 Tb
0.9628 0.3644 0.7100 Tb
0.3561 0.5109 0.7768 Tb
0.5000 0.0000 0.0000 Tb
0.6439 0.4891 0.2232 Tb
0.0000 0.0000 0.0000 Ho


No. 7
LaTb7Ho3, optimized geometry, DFT PBE-GGA; DOS at the Fermi energy = 17.727 states/eV/f.u.; SG = P3m1; relative energy among the computed polymorphs = 0.0619 eV/atom
1.0
-2.2059 0.4161 8.3339
-6.8476 -0.2835 -1.7983
3.5858 -5.9824 1.2478
La Tb Ho
1 7 3
direct
0.4451 0.3333 0.6667 La
0.1144 0.1677 0.8323 Tb
0.1144 0.1677 0.3355 Tb
0.1192 0.6667 0.3333 Tb
0.4505 0.8321 0.1679 Tb
0.4505 0.3359 0.1679 Tb
0.4505 0.8321 0.6641 Tb
0.1144 0.6645 0.8323 Tb
0.7854 0.5009 0.4991 Ho
0.7854 0.5009 0.0018 Ho
0.7854 0.9982 0.4991 Ho


No. 8
La2Tb5Ho5, optimized geometry, DFT PBE-GGA; DOS at the Fermi energy = 18.475 states/eV/f.u.; SG = C2/m; raw total energy = -4.631 eV/atom
1.0
-0.4190 -4.3096 2.6187
6.2918 -4.6519 -1.7600
7.1538 1.1447 7.9174
La Tb Ho
2 5 5
direct
0.9176 0.4157 0.7492 La
0.0824 0.5843 0.2508 La
0.8320 0.8359 0.5001 Tb
0.2471 0.7540 0.7518 Tb
0.7529 0.2460 0.2482 Tb
0.1680 0.1641 0.4999 Tb
0.0000 0.0000 0.0000 Tb
0.5000 0.5000 0.5000 Ho
0.3336 0.3320 0.0008 Ho
0.4148 0.9204 0.2501 Ho
0.5852 0.0796 0.7499 Ho
0.6664 0.6680 0.9992 Ho


Q: What is the formula in the fifth record?
A: La3Tb5Ho